The following is a DFT calculation (PBE) of a geometry-optimized TbDy2S4 structure.

Output
Uncorrected formation energy = -2.02 eV/atom
Crystal system = monoclinic
SG = C2/m, No. 12

Unit cell a=7.465 b=7.465 c=6.884 alpha=115.24 beta=115.24 gamma=30.68
Atoms (fractional coordinates):
Tb 0.000 0.000 0.000
Dy 0.272 0.272 0.279
Dy 0.728 0.728 0.721
S 0.126 0.126 0.440
S 0.361 0.361 0.997
S 0.639 0.639 0.003
S 0.874 0.874 0.560



The following is a DFT calculation (PBE) of a geometry-optimized TaPtRh2 structure.

Output
ΔH_f (0 K) = -0.4497 eV per atom
Crystal system = orthorhombic
SG = Pmmm, No. 47

Unit cell a=2.825 b=3.848 c=5.659 alpha=90.00 beta=90.00 gamma=90.00
Atoms (fractional coordinates):
Ta 0.000 0.000 0.000
Pt 0.000 0.000 0.500
Rh 0.500 0.500 0.248
Rh 0.500 0.500 0.752



The following is a DFT calculation (PBE) of a geometry-optimized Cs2K2Hg structure.

Output
ΔH_f (0 K) = -0.0334 eV per atom
Crystal system = tetragonal
SG = P4/mbm, No. 127

Unit cell a=9.672 b=9.672 c=7.828 alpha=90.00 beta=90.00 gamma=90.00
Atoms (fractional coordinates):
Cs 0.183 0.317 0.000
Cs 0.317 0.817 0.000
Cs 0.683 0.183 0.000
Cs 0.817 0.683 0.000
K 0.158 0.658 0.500
K 0.342 0.158 0.500
K 0.658 0.842 0.500
K 0.842 0.342 0.500
Hg 0.000 0.000 0.500
Hg 0.500 0.500 0.500



What did the first record say?
The following is a DFT calculation (PBE) of a geometry-optimized TbDy2S4 structure.

Output
Uncorrected formation energy = -2.02 eV/atom
Crystal system = monoclinic
SG = C2/m, No. 12

Unit cell a=7.465 b=7.465 c=6.884 alpha=115.24 beta=115.24 gamma=30.68
Atoms (fractional coordinates):
Tb 0.000 0.000 0.000
Dy 0.272 0.272 0.279
Dy 0.728 0.728 0.721
S 0.126 0.126 0.440
S 0.361 0.361 0.997
S 0.639 0.639 0.003
S 0.874 0.874 0.560